Density functional theory data (PBE) for a relaxed structure of Zn2PS.

Computed properties:
energy relative to the elements, uncorrected = 1.5 eV per formula unit

Cell: 6.348 6.348 6.348 Å, 90.00 90.00 90.00°
Space group Fm-3m (No. 225)
Asymmetric unit:
Zn 0.250 0.250 0.250 (multiplicity 8)
P 0.000 0.000 0.000 (multiplicity 4)
S 0.000 0.000 0.500 (multiplicity 4)